Material: PmHfCo4
Method: DFT, PBE
State: relaxed

Energy relative to the elements   -140.2 meV/atom
Space-group type   F-43m, No. 216

Structure (POSCAR):
```
PmHfCo4
1.0
-1.023 -4.605 1.667
-1.831 -3.445 -3.132
2.849 -3.862 -1.413
Co Pm Hf
4 1 1
Cartesian
0.904 -5.725 -0.244
-0.003 -7.431 -1.796
-1.414 -5.518 -1.096
0.504 -5.150 -2.621
0.000 0.000 0.000
-0.001 -2.978 -0.720
```

=====

Material: AlTl2Fe
Method: DFT, PBE
State: relaxed

Energy relative to the elements   685.1 meV/atom
Space-group type   F-43m, No. 216

Structure (POSCAR):
```
AlTl2Fe
1.0
4.989 0.000 0.000
2.495 4.321 0.000
2.495 1.440 4.074
Tl Fe Al
2 1 1
Cartesian
0.000 0.000 0.000
2.495 1.440 1.018
7.484 4.321 3.055
4.989 2.881 2.037
```

=====

Material: Tm2ScPaP4
Method: DFT, PBE
State: relaxed

Energy relative to the elements   -1497.9 meV/atom
Space-group type   P2/m, No. 10

Structure (POSCAR):
```
Tm2ScPaP4
1.0
3.919 0.000 0.000
0.000 6.736 0.109
0.000 -2.363 6.352
Tm Pa P Sc
2 1 4 1
Cartesian
1.960 -1.181 3.176
0.000 2.187 3.231
1.960 3.368 0.055
1.960 3.302 4.899
1.960 1.071 1.562
0.000 -0.126 4.810
0.000 4.500 1.651
0.000 0.000 0.000
```

=====

Material: MnHgBr2
Method: DFT, PBE
State: relaxed

Space-group type   P4mm, No. 99
Uncorrected formation energy   -0.07 eV/atom

Structure (POSCAR):
```
MnHgBr2
1.0
3.516 0.000 0.000
0.000 3.516 0.000
0.000 0.000 8.434
Br Hg Mn
2 1 1
Cartesian
0.000 0.000 7.777
1.758 1.758 2.651
0.000 0.000 4.379
1.758 1.758 6.278
```

=====

Material: CoPPt2
Method: DFT, PBE
State: relaxed

Energy relative to the elements   58.9 meV/atom
Space-group type   Cmmm, No. 65

Structure (POSCAR):
```
CoPPt2
1.0
4.142 0.022 0.008
-0.852 4.053 0.008
-0.007 -0.009 3.295
P Pt Co
1 2 1
Cartesian
-0.429 2.022 1.651
0.000 0.000 0.000
1.645 2.038 0.008
2.067 0.007 1.651
```

=====

Material: CdTcIr2
Method: DFT, PBE
State: relaxed

Energy relative to the elements   389.2 meV/atom
Space-group type   P4/mmm, No. 123

Structure (POSCAR):
```
CdTcIr2
1.0
3.857 0.000 0.000
0.000 4.058 0.000
0.000 0.000 4.058
Tc Ir Cd
1 2 1
Cartesian
1.928 2.029 0.000
0.000 0.000 0.000
0.000 2.029 2.029
1.928 0.000 2.029
```

=====

Material: Sc2ReSi
Method: DFT, PBE
State: relaxed

Space-group type   P4mm, No. 99
Uncorrected formation energy   -0.30 eV/atom

Structure (POSCAR):
```
Sc2ReSi
1.0
3.259 0.000 0.000
0.000 3.259 0.000
0.000 0.000 6.851
Sc Si Re
2 1 1
Cartesian
0.000 0.000 6.570
1.629 1.629 2.019
0.000 0.000 3.741
1.629 1.629 4.798
```

=====

Material: ZrHg3B
Method: DFT, PBE
State: relaxed

Energy relative to the elements   1550.8 meV/atom
Space-group type   Pm-3m, No. 221

Structure (POSCAR):
```
ZrHg3B
1.0
5.628 0.000 0.000
0.000 5.628 0.000
0.000 0.000 5.628
B Hg Zr
1 3 1
Cartesian
2.814 2.814 2.814
2.814 0.000 0.000
0.000 2.814 0.000
0.000 0.000 2.814
0.000 0.000 0.000
```

=====

Material: Fe3Co2Ni7
Method: DFT, PBE
State: relaxed

Energy relative to the elements   185.2 meV/atom
Space-group type   R-3m, No. 166

Structure (POSCAR):
```
Fe3Co2Ni7
1.0
-4.162 0.969 -1.769
-2.716 -3.417 -1.529
-5.445 -1.469 5.958
Ni Fe Co
7 3 2
Cartesian
-6.161 -1.959 1.330
-8.089 -2.531 2.493
-4.233 -1.387 0.167
-5.607 -3.116 -0.606
-6.715 -0.802 3.267
-5.983 -3.021 3.388
-6.339 -0.896 -0.728
-4.117 -1.194 2.985
-8.206 -2.723 -0.324
0.000 0.000 0.000
-4.595 -1.634 -2.177
-7.727 -2.283 4.837
```

=====

Material: Si2TeWBr
Method: DFT, PBE
State: relaxed

Space-group type   P4/mmm, No. 123
Uncorrected formation energy   1.84 eV/atom

Structure (POSCAR):
```
Si2TeWBr
1.0
-1.456 -5.211 -0.553
3.063 -0.415 -4.159
4.138 -1.495 3.197
Te Br Si W
1 1 2 1
Cartesian
0.000 0.000 0.000
2.873 -3.561 -0.757
-0.728 -2.605 -0.276
2.069 -0.748 1.598
1.532 -0.208 -2.080
```

=====

Material: SnGe2Pt2
Method: DFT, PBE
State: relaxed

Energy relative to the elements   -246.8 meV/atom
Space-group type   I4/mmm, No. 139

Structure (POSCAR):
```
SnGe2Pt2
1.0
-3.147 2.965 1.418
-2.861 -1.506 -3.201
-4.687 -2.503 2.133
Sn Ge Pt
1 2 2
Cartesian
0.000 0.000 0.000
-7.247 -0.922 0.444
-3.447 -0.123 -0.094
-5.276 -1.640 -0.980
-5.419 0.595 1.330
```

=====

For each record above, in turn, the calculated M_tot values are 2.94, 2.31, 0.00, 4.96, 0.00, 1.95, 1.29, 1.55, 17.11, 3.16, 0.00 Bohr magnetons per cell.
For each record above, in turn, the calculated energy values are -44.0, -14.2, -58.4, -13.1, -24.4, -27.4, -31.7, -8.4, -77.8, -19.4, -26.6 eV/f.u..